(1)
# Ta5Ag3

A relaxed Ta5Ag3 crystal (GGA-PBE, Alexandria via LeMat-Bulk).

Unit cell a=8.1324 b=8.1324 c=5.1161 alpha=90.00 beta=90.00 gamma=120.00
Closest atoms and distances in Å follow each position.
Fractional positions:
Ta: 0.0000 0.2082 0.2500  5 Ag 2.88-3.11, 6 Ta 2.93-3.07
Ta: 0.0000 0.7918 0.7500  5 Ag 2.88-3.11, 6 Ta 2.93-3.07
Ta: 0.2082 0.0000 0.2500  5 Ag 2.88-3.11, 6 Ta 2.93-3.07
Ta: 0.2082 0.2082 0.7500  5 Ag 2.88-3.11, 6 Ta 2.93-3.07
Ta: 0.3333 0.6667 0.0000  2 Ta 2.56, 6 Ag 2.77
Ta: 0.3333 0.6667 0.5000  2 Ta 2.56, 6 Ag 2.77
Ta: 0.6667 0.3333 0.0000  2 Ta 2.56, 6 Ag 2.77
Ta: 0.6667 0.3333 0.5000  2 Ta 2.56, 6 Ag 2.77
Ta: 0.7918 0.0000 0.7500  5 Ag 2.88-3.11, 6 Ta 2.93-3.07
Ta: 0.7918 0.7918 0.2500  5 Ag 2.88-3.11, 6 Ta 2.93-3.07
Ag: 0.0000 0.4092 0.7500  8 Ta 2.77-3.04, 2 Ag 2.95
Ag: 0.0000 0.5908 0.2500  8 Ta 2.77-3.04, 2 Ag 2.95
Ag: 0.4092 0.0000 0.7500  8 Ta 2.77-3.04, 2 Ag 2.95
Ag: 0.4092 0.4092 0.2500  8 Ta 2.77-3.04, 2 Ag 2.95
Ag: 0.5908 0.0000 0.2500  8 Ta 2.77-3.04, 2 Ag 2.95
Ag: 0.5908 0.5908 0.7500  8 Ta 2.77-3.04, 2 Ag 2.95

Properties
- calculated formation energy (eV/atom) = 0.500
- space group = No. 193
- magnetic moment (μB/atom) = 0.00
- mass density (g cm⁻³) = 13.92


(2)
# DyCd2In

A relaxed DyCd2In crystal (GGA-PBE, Alexandria via LeMat-Bulk).

Unit cell a=3.6886 b=3.6886 c=7.3661 alpha=90.00 beta=90.00 gamma=90.00
Closest atoms and distances in Å follow each position.
Fractional positions:
Dy: 0.0000 0.0000 0.0000  8 Cd 3.25
Cd: 0.5000 0.5000 0.2626  4 In 3.14, 4 Dy 3.25, 1 Cd 3.50
Cd: 0.5000 0.5000 0.7374  4 In 3.14, 4 Dy 3.25, 1 Cd 3.50
In: 0.0000 0.0000 0.5000  8 Cd 3.14

Properties
- calculated formation energy (eV/atom) = -0.171
- space group = No. 123
- magnetic moment (μB/atom) = 0.10
- mass density (g cm⁻³) = 8.32
- energy above the lowest structure with this stoichiometry (eV per formula unit) = 0.59


(3)
# CaPaFeN4

A relaxed CaPaFeN4 crystal (GGA-PBE, Alexandria via LeMat-Bulk).

Unit cell a=5.6690 b=5.2353 c=6.8379 alpha=90.00 beta=106.88 gamma=90.00
Closest atoms and distances in Å follow each position.
Fractional positions:
Ca: 0.1938 0.2500 0.4204  2 N 2.44-2.54
Ca: 0.8062 0.7500 0.5796  2 N 2.44-2.54
Pa: 0.2616 0.2500 0.9389  6 N 2.23-2.40
Pa: 0.7384 0.7500 0.0611  6 N 2.23-2.40
Fe: 0.2781 0.7500 0.2024  4 N 1.75-1.79
Fe: 0.7219 0.2500 0.7976  4 N 1.75-1.79
N: 0.0569 0.7500 0.3435  1 Fe 1.79
N: 0.0827 0.7500 0.9460  1 Fe 1.78
N: 0.4890 0.5015 0.2188  1 Fe 1.75
N: 0.4890 0.9985 0.2188  1 Fe 1.75
N: 0.5110 0.0015 0.7812  1 Fe 1.75
N: 0.5110 0.4985 0.7812  1 Fe 1.75
N: 0.9173 0.2500 0.0540  1 Fe 1.78
N: 0.9431 0.2500 0.6565  1 Fe 1.79

Properties
- formation energy (no corrections) (eV/atom) = -0.73
- space group = No. 11
- magnetic moment (μB/atom) = 0.30
- mass density (g cm⁻³) = 6.55


(4)
# PmPr2Th3Te6

A relaxed PmPr2Th3Te6 crystal (GGA-PBE, Alexandria via LeMat-Bulk).

Unit cell a=10.1965 b=10.1965 c=9.0334 alpha=106.74 beta=106.74 gamma=25.27
Closest atoms and distances in Å follow each position.
Fractional positions:
Pm: 0.0000 0.0000 0.0000  6 Te 3.14-3.16
Pr: 0.3337 0.3337 0.6667  6 Te 3.18-3.19
Pr: 0.6663 0.6663 0.3333  6 Te 3.18-3.19
Th: 0.0000 0.0000 0.5000  6 Te 3.18-3.19
Th: 0.3316 0.3316 0.1649  6 Te 3.17-3.19
Th: 0.6684 0.6684 0.8351  6 Te 3.17-3.19
Te: 0.1648 0.1648 0.0822  1 Pm 3.14, 3 Th 3.17-3.18, 2 Pr 3.18
Te: 0.1667 0.1667 0.5842  3 Th 3.17-3.18, 3 Pr 3.18
Te: 0.4988 0.4988 0.2468  2 Pm 3.16, 3 Th 3.19, 1 Pr 3.19
Te: 0.5012 0.5012 0.7532  2 Pm 3.16, 3 Th 3.19, 1 Pr 3.19
Te: 0.8333 0.8333 0.4158  3 Th 3.17-3.18, 3 Pr 3.18
Te: 0.8352 0.8352 0.9178  1 Pm 3.14, 3 Th 3.17-3.18, 2 Pr 3.18

Properties
- formation energy (no corrections) (eV/atom) = -1.20
- space group = No. 12
- magnetic moment (μB/atom) = 0.00
- mass density (g cm⁻³) = 8.19


(5)
# Pr2BiH4

A relaxed Pr2BiH4 crystal (GGA-PBE, Alexandria via LeMat-Bulk).

Unit cell a=8.7529 b=8.7529 c=8.7529 alpha=26.04 beta=26.04 gamma=26.04
Closest atoms and distances in Å follow each position.
Fractional positions:
Pr: 0.2330 0.2330 0.2330  7 H 2.28-2.47
Pr: 0.7670 0.7670 0.7670  7 H 2.28-2.47
Bi: 0.0000 0.0000 0.0000  6 Pr 3.41, 8 H 3.51
H: 0.1384 0.1384 0.1384  4 Pr 2.40-2.47, 3 H 2.42
H: 0.4389 0.4389 0.4389  3 Pr 2.28, 3 H 2.42
H: 0.5611 0.5611 0.5611  3 Pr 2.28, 3 H 2.42
H: 0.8616 0.8616 0.8616  4 Pr 2.40-2.47, 3 H 2.42

Properties
- calculated total energy (eV per atom) = -4.4326
- space group = No. 166
- magnetic moment (μB/atom) = 0.00
- mass density (g cm⁻³) = 7.22


(6)
# Na2NpTaO6

A relaxed Na2NpTaO6 crystal (GGA-PBE, Alexandria via LeMat-Bulk).

Unit cell a=5.8316 b=8.2477 c=5.8325 alpha=90.00 beta=90.00 gamma=90.00
Closest atoms and distances in Å follow each position.
Fractional positions:
Na: 0.2500 0.0001 0.2475  12 O 2.90-2.94
Na: 0.2500 0.4999 0.2475  12 O 2.90-2.94
Na: 0.7500 0.9999 0.7525  12 O 2.90-2.94
Na: 0.7500 0.5001 0.7525  12 O 2.90-2.94
Np: 0.2500 0.2500 0.7498  6 O 2.13
Np: 0.7500 0.7500 0.2502  6 O 2.13
Ta: 0.2500 0.7500 0.7499  6 O 2.00
Ta: 0.7500 0.2500 0.2501  6 O 2.00
O: 0.0079 0.7500 0.5081  1 Ta 2.00, 1 Np 2.13
O: 0.0078 0.7500 0.9923  1 Ta 2.00, 1 Np 2.13
O: 0.2500 0.5079 0.7511  1 Ta 2.00, 1 Np 2.13
O: 0.2500 0.9921 0.7511  1 Ta 2.00, 1 Np 2.13
O: 0.4921 0.7500 0.5081  1 Ta 2.00, 1 Np 2.13
O: 0.4922 0.7500 0.9923  1 Ta 2.00, 1 Np 2.13
O: 0.5078 0.2500 0.0077  1 Ta 2.00, 1 Np 2.13
O: 0.5079 0.2500 0.4919  1 Ta 2.00, 1 Np 2.13
O: 0.7500 0.0079 0.2489  1 Ta 2.00, 1 Np 2.13
O: 0.7500 0.4921 0.2489  1 Ta 2.00, 1 Np 2.13
O: 0.9922 0.2500 0.0077  1 Ta 2.00, 1 Np 2.13
O: 0.9921 0.2500 0.4919  1 Ta 2.00, 1 Np 2.13

Properties
- formation energy (no corrections) (eV/atom) = -2.59
- space group = No. 59
- magnetic moment (μB/atom) = 0.20
- mass density (g cm⁻³) = 6.63


mass density of number 4 (PmPr2Th3Te6)?
8.19 g cm⁻³


Among the records above, which one has the highest magnetic moment?
CaPaFeN4